Computed, not measured: a relaxed NbCuRePb crystal at the PBE-GGA level of DFT.

The value obtained for the electronic total energy is -6.96 eV per atom.

Cell: 4.605 4.605 4.605 Å, 60.00 60.00 60.00°
Fractional coordinates of all 4 atoms:
Nb1 0.500 0.500 0.500
Cu1 0.750 0.750 0.750
Pb1 0.000 0.000 0.000
Re1 0.250 0.250 0.250

=====

Computed, not measured: a relaxed UTePb crystal at the PBE-GGA level of DFT.

The value obtained for the electronic total energy is -5.84 eV per atom.

Cell: 5.200 5.200 5.200 Å, 60.00 60.00 60.00°
Fractional coordinates of all 3 atoms:
Pb1 0.250 0.250 0.250
Te1 0.750 0.750 0.750
U1 0.000 0.000 0.000

=====

Computed, not measured: a relaxed Dy2Nb crystal at the PBE-GGA level of DFT.

The calculation puts the calculated formation energy at 2213 meV per atom.

Cell: 8.311 8.311 8.311 Å, 60.00 60.00 60.00°
Fractional coordinates of all 6 atoms:
Nb1 0.250 0.250 0.250
Nb2 0.500 0.500 0.500
Dy1 0.375 0.375 0.375
Dy2 0.375 0.875 0.375
Dy3 0.875 0.375 0.375
Dy4 0.375 0.375 0.875

=====

no.,M_tot (μB per cell)
1,0.00
2,2.48
3,0.05